Density functional theory data (PBE) for Tm2CuGe4Pt3 after structural relaxation.

## Properties
Crystal system   tetragonal
ΔH_f (0 K)   -0.763 eV per atom

a b c (Å): 4.107 4.107 10.814
angles (deg): 90.00 90.00 90.00
Fractional coordinates of all 10 atoms:
Tm1 0.000 0.500 0.233
Tm2 0.500 0.000 0.767
Cu1 0.500 0.500 0.000
Ge1 0.000 0.000 0.500
Ge2 0.000 0.500 0.867
Ge3 0.500 0.000 0.133
Ge4 0.500 0.500 0.500
Pt1 0.000 0.000 0.000
Pt2 0.000 0.500 0.641
Pt3 0.500 0.000 0.359

Density functional theory data (PBE) for Tm2CuGe3Pt4 after structural relaxation.

## Properties
Crystal system   tetragonal
ΔH_f (0 K)   -0.799 eV per atom

a b c (Å): 4.131 4.131 10.664
angles (deg): 90.00 90.00 90.00
Fractional coordinates of all 10 atoms:
Tm1 0.000 0.500 0.239
Tm2 0.500 0.000 0.761
Cu1 0.500 0.500 0.000
Ge1 0.000 0.000 0.000
Ge2 0.000 0.500 0.637
Ge3 0.500 0.000 0.363
Pt1 0.000 0.000 0.500
Pt2 0.000 0.500 0.861
Pt3 0.500 0.000 0.139
Pt4 0.500 0.500 0.500

Density functional theory data (PBE) for U2CuGe4Pt3 after structural relaxation.

## Properties
Crystal system   tetragonal
ΔH_f (0 K)   -0.474 eV per atom

a b c (Å): 4.186 4.186 10.561
angles (deg): 90.00 90.00 90.00
Fractional coordinates of all 10 atoms:
U1 0.000 0.500 0.243
U2 0.500 0.000 0.757
Cu1 0.500 0.500 0.000
Ge1 0.000 0.000 0.500
Ge2 0.000 0.500 0.868
Ge3 0.500 0.000 0.132
Ge4 0.500 0.500 0.500
Pt1 0.000 0.000 0.000
Pt2 0.000 0.500 0.637
Pt3 0.500 0.000 0.363

Copy entry 3 word for word.
Density functional theory data (PBE) for U2CuGe4Pt3 after structural relaxation.

## Properties
Crystal system   tetragonal
ΔH_f (0 K)   -0.474 eV per atom

a b c (Å): 4.186 4.186 10.561
angles (deg): 90.00 90.00 90.00
Fractional coordinates of all 10 atoms:
U1 0.000 0.500 0.243
U2 0.500 0.000 0.757
Cu1 0.500 0.500 0.000
Ge1 0.000 0.000 0.500
Ge2 0.000 0.500 0.868
Ge3 0.500 0.000 0.132
Ge4 0.500 0.500 0.500
Pt1 0.000 0.000 0.000
Pt2 0.000 0.500 0.637
Pt3 0.500 0.000 0.363

Q: Which of these has the lowest ΔH_f (0 K)?
A: Tm2CuGe3Pt4